## KCrO2 (PBE with a Hubbard U)

Data for a relaxed KCrO2 crystal.

Cell and atoms, written as POSCAR:
```
KCrO2
1.0
1.7669 1.0201 6.7239
-1.7669 1.0201 6.7239
0.0000 -2.0403 6.7239
K Cr O
1 1 2
Cartesian
0.0000 0.0000 0.0000
0.0000 0.0000 10.0859
0.0000 0.0000 8.3893
0.0000 0.0000 11.7825
```

Output
Fermi-level density of states ... 0.86 states/eV/cell
VASP energy ... -5.68 eV/atom
Energy relative to the lowest polymorph listed for this composition ... 0.745 eV per atom